# 1
Computed, not measured: a geometry-optimized MgCd6AgPb structure at the GGA-PBE level of DFT.

Lattice parameters (Å, degrees): 7.5827 10.0403 8.6845 125.31 115.89 90.00
Fractional positions:
Pb 0.7124 0.4624 0.4248
Pb 0.2876 0.5376 0.5752
Cd 0.6778 0.8541 0.7403
Cd 0.5703 0.8203 0.1406
Cd 0.3222 0.1459 0.2597
Cd 0.4297 0.1797 0.8594
Cd 0.0625 0.8541 0.7403
Cd 0.9375 0.1459 0.2597
Cd 0.0625 0.3862 0.7403
Cd 0.6778 0.3862 0.7403
Cd 0.0236 0.7736 0.0473
Cd 0.9764 0.2264 0.9527
Cd 0.3222 0.6138 0.2597
Cd 0.9375 0.6138 0.2597
Ag 0.5000 0.5000 0.0000
Ag 0.5000 0.0000 0.0000
Mg 0.5000 0.0000 0.5000
Mg 0.0000 0.0000 0.5000

Output
DFT formation energy: 0.09 eV per atom
DOS at the Fermi energy: 3.3 states/eV/f.u.
space group: Imma, No. 74
crystal system: orthorhombic


# 2
Computed, not measured: a geometry-optimized BaTiB2 structure at the GGA-PBE level of DFT.

Lattice parameters (Å, degrees): 4.8939 4.8939 8.0470 72.30 72.30 90.00
Fractional positions:
B 0.4166 0.1250 0.2500
B 0.8750 0.6666 0.7500
B 0.3334 0.6250 0.2500
B 0.3750 0.5834 0.7500
Ba 0.7500 0.2500 0.5000
Ba 0.0000 0.0000 0.0000
Ti 0.2500 0.7500 0.5000
Ti 0.5000 0.5000 0.0000

Output
energy relative to the lowest polymorph listed for this composition: 0 meV/atom
DFT formation energy: 0.78 eV per atom
DOS at the Fermi energy: 2.4 states/eV/f.u.
space group: I-42d, No. 122
crystal system: tetragonal


# 3
Computed, not measured: a geometry-optimized Ca5Pt2Au2 structure at the GGA-PBE level of DFT.

Lattice parameters (Å, degrees): 7.7531 7.7842 8.5729 90.00 63.12 90.00
Fractional positions:
Ca 0.5398 0.8326 0.2618
Ca 0.8016 0.8326 0.7382
Ca 0.0000 0.0000 0.0000
Ca 0.1984 0.1674 0.2618
Ca 0.0398 0.6674 0.2618
Ca 0.3016 0.6674 0.7382
Ca 0.9602 0.3326 0.7382
Ca 0.6984 0.3326 0.2618
Ca 0.4602 0.1674 0.7382
Ca 0.5000 0.5000 0.0000
Pt 0.6264 0.1268 0.0000
Pt 0.3736 0.8732 0.0000
Pt 0.1264 0.3732 0.0000
Pt 0.8736 0.6268 0.0000
Au 0.2954 0.5000 0.4092
Au 0.7046 0.5000 0.5908
Au 0.7954 0.0000 0.4092
Au 0.2046 0.0000 0.5908

Output
DFT formation energy: -0.83 eV per atom
DOS at the Fermi energy: 3.9 states/eV/f.u.
space group: Cmce, No. 64
crystal system: orthorhombic


# 4
Computed, not measured: a geometry-optimized BaZr2Br structure at the GGA-PBE level of DFT.

Lattice parameters (Å, degrees): 7.5031 4.2982 4.2982 90.00 90.00 90.00
Fractional positions:
Br 0.5000 0.0000 0.5000
Ba 0.5000 0.5000 0.0000
Zr 0.0000 0.5000 0.5000
Zr 0.0000 0.0000 0.0000

Output
energy relative to the lowest polymorph listed for this composition: 372 meV/atom
DOS at the Fermi energy: 6.5 states/eV/f.u.
space group: P4/mmm, No. 123
crystal system: tetragonal
uncorrected formation energy: 185 meV/atom


# 5
Computed, not measured: a geometry-optimized MoAsP2 structure at the GGA-PBE level of DFT.

Lattice parameters (Å, degrees): 4.6304 4.6304 3.6982 74.37 74.37 112.23
Fractional positions:
P 0.5000 0.5000 0.0000
P 0.0000 0.0000 0.0000
As 0.5000 0.0000 0.5000
Mo 0.0000 0.5000 0.5000

Output
DFT formation energy: 0.32 eV per atom
DOS at the Fermi energy: 2.5 states/eV/f.u.
space group: C2/m, No. 12
crystal system: monoclinic


# 6
Computed, not measured: a geometry-optimized TbHo4Ga4 structure at the GGA-PBE level of DFT.

Lattice parameters (Å, degrees): 5.9287 9.0292 9.0292 90.00 90.00 90.00
Fractional positions:
Ho 0.3794 0.3187 0.9080
Ho 0.8794 0.4080 0.1813
Ho 0.8794 0.5920 0.8187
Ho 0.1206 0.1813 0.5920
Ho 0.1206 0.8187 0.4080
Ho 0.3794 0.6813 0.0920
Ho 0.6206 0.9080 0.6813
Ho 0.6206 0.0920 0.3187
Ga 0.3687 0.3680 0.2262
Ga 0.1313 0.1320 0.2738
Ga 0.8687 0.2738 0.8680
Ga 0.8687 0.7262 0.1320
Ga 0.6313 0.7738 0.3680
Ga 0.6313 0.2262 0.6320
Ga 0.3687 0.6320 0.7738
Ga 0.1313 0.8680 0.7262
Tb 0.5000 0.5000 0.5000
Tb 0.0000 0.0000 0.0000

Output
DFT formation energy: -0.36 eV per atom
DOS at the Fermi energy: 6.5 states/eV/f.u.
space group: P4_2/n, No. 86
crystal system: tetragonal


# 7
Computed, not measured: a geometry-optimized KHg3Pt structure at the GGA-PBE level of DFT.

Lattice parameters (Å, degrees): 4.0379 4.0379 8.6348 90.00 90.00 90.00
Fractional positions:
Pt 0.5000 0.5000 0.6876
Hg 0.5000 0.0000 0.4030
Hg 0.0000 0.0000 0.7056
Hg 0.0000 0.5000 0.4030
K 0.0000 0.0000 0.0646

Output
energy relative to the lowest polymorph listed for this composition: 303 meV/atom
DFT formation energy: 0.03 eV per atom
DOS at the Fermi energy: 1.3 states/eV/f.u.
space group: P4mm, No. 99
crystal system: tetragonal


# 8
Computed, not measured: a geometry-optimized Ca2ScIn structure at the GGA-PBE level of DFT.

Lattice parameters (Å, degrees): 6.5072 6.5072 5.2808 65.98 65.98 35.80
Last column: magnetic moment on the atom in μB.
Fractional positions:
In 0.7500 0.7500 0.7500  0.01
Sc 0.2500 0.2500 0.2500  0.28
Ca 0.0194 0.0194 0.9805  0.06
Ca 0.4806 0.4806 0.5195  0.06

Output
DFT formation energy: -0.07 eV per atom
DOS at the Fermi energy: 4.9 states/eV/f.u.
space group: C2/m, No. 12
crystal system: monoclinic


# 9
Computed, not measured: a geometry-optimized MgAlSbPb2 structure at the GGA-PBE level of DFT.

Lattice parameters (Å, degrees): 5.5191 5.1391 5.5191 90.00 90.00 90.00
Fractional positions:
Pb 0.0000 0.0000 0.5000
Pb 0.5000 0.0000 0.0000
Mg 0.0000 0.0000 0.0000
Al 0.0000 0.5000 0.0000
Sb 0.5000 0.5000 0.5000

Output
DOS at the Fermi energy: 2.8 states/eV/f.u.
space group: P4/mmm, No. 123
crystal system: tetragonal
uncorrected formation energy: 523 meV/atom


# 10
Computed, not measured: a geometry-optimized Tm2V3Ge4 structure at the GGA-PBE level of DFT.

Lattice parameters (Å, degrees): 6.8019 6.9051 6.9020 90.00 90.00 109.65
Fractional positions:
V 0.2528 0.7437 0.1687
V 0.7472 0.2563 0.8313
V 0.2472 0.2563 0.6687
V 0.5000 0.5000 0.0000
V 0.7528 0.7437 0.3313
V 0.0000 0.5000 0.5000
Ge 0.6392 0.9089 0.0448
Ge 0.3641 0.4983 0.3656
Ge 0.8608 0.0911 0.5448
Ge 0.6359 0.5017 0.6344
Ge 0.8641 0.4983 0.1344
Ge 0.1359 0.5017 0.8656
Ge 0.3608 0.0911 0.9552
Ge 0.1392 0.9089 0.4552
Tm 0.0558 0.1869 0.1706
Tm 0.5558 0.1869 0.3294
Tm 0.4442 0.8131 0.6706
Tm 0.9442 0.8131 0.8294

Output
DFT formation energy: -0.59 eV per atom
DOS at the Fermi energy: 6.3 states/eV/f.u.
space group: P2_1/c, No. 14
crystal system: monoclinic


# 11
Computed, not measured: a geometry-optimized ZrIn2W structure at the GGA-PBE level of DFT.

Lattice parameters (Å, degrees): 10.1902 10.1902 10.1902 17.33 17.33 17.33
Fractional positions:
Zr 0.7500 0.7500 0.7500
W 0.2500 0.2500 0.2500
In 0.5040 0.5040 0.5040
In 0.9960 0.9960 0.9960

Output
energy relative to the lowest polymorph listed for this composition: 97 meV/atom
DFT formation energy: 0.30 eV per atom
DOS at the Fermi energy: 2.8 states/eV/f.u.
space group: R-3m, No. 166
crystal system: trigonal


# 12
Computed, not measured: a geometry-optimized TcTeRuN2 structure at the GGA-PBE level of DFT.

Lattice parameters (Å, degrees): 3.8200 3.8200 5.8677 90.00 90.00 90.00
Last column: magnetic moment on the atom in μB.
Fractional positions:
N 0.5000 0.0000 0.0000  0.02
N 0.0000 0.5000 0.0000  0.02
Tc 0.0000 0.0000 0.0000  -0.03
Ru 0.5000 0.5000 0.5000  1.46
Te 0.0000 0.0000 0.5000  0.01

Output
energy relative to the lowest polymorph listed for this composition: 0 meV/atom
DOS at the Fermi energy: 6.6 states/eV/f.u.
space group: P4/mmm, No. 123
crystal system: tetragonal
uncorrected formation energy: 1000 meV/atom